A relaxed BaGaI3 crystal. Source: the Alexandria database, functional PBE-GGA.

The calculation puts the total magnetic moment at 0.0000 μB/atom. For the density, the calculation gives 4.64 g cm⁻³. The formation energy (no corrections) is -1177 meV/atom.

Lattice parameters (Å, degrees): 4.856 9.718 17.838 90.00 90.00 90.00
Sites, in units of the cell vectors:
Ba 0.750 0.856 0.806
Ba 0.250 0.144 0.194
Ba 0.750 0.356 0.694
Ba 0.250 0.644 0.306
Ga 0.250 0.324 0.959
Ga 0.250 0.824 0.541
Ga 0.750 0.176 0.459
Ga 0.750 0.676 0.041
I 0.250 0.343 0.554
I 0.750 0.846 0.206
I 0.750 0.497 0.880
I 0.750 0.997 0.620
I 0.750 0.657 0.446
I 0.250 0.003 0.380
I 0.250 0.843 0.946
I 0.750 0.346 0.294
I 0.250 0.654 0.706
I 0.250 0.154 0.794
I 0.750 0.157 0.054
I 0.250 0.503 0.120